{
  "formula": "Tb6Y12Tm",
  "functional": "GGA-PBE",
  "state": "optimized geometry",
  "lattice_angstrom": [[-5.178, 5.836, 3.503], [-6.964, -4.505, -2.084], [0.026, -4.069, 7.522]],
  "species": ["Tb", "Tb", "Tb", "Tb", "Tb", "Tb", "Y", "Y", "Y", "Y", "Y", "Y", "Y", "Y", "Y", "Y", "Y", "Y", "Tm"],
  "fractional_positions": [[0.743, 0.908, 0.305], [0.695, 0.257, 0.092], [0.092, 0.695, 0.257], [0.257, 0.092, 0.695], [0.305, 0.743, 0.908], [0.908, 0.305, 0.743], [0.777, 0.542, 0.437], [0.437, 0.777, 0.542], [0.542, 0.437, 0.777], [0.223, 0.458, 0.563], [0.563, 0.223, 0.458], [0.458, 0.563, 0.223], [0.012, 0.200, 0.358], [0.800, 0.642, 0.988], [0.642, 0.988, 0.800], [0.988, 0.800, 0.642], [0.200, 0.358, 0.012], [0.358, 0.012, 0.200], [0.000, 0.000, 0.000]],
  "crystal_system": "trigonal",
  "n_ef_per_ev_atom": 1.753,
  "final_energy_ev_per_atom": -5.631,
  "relative_energy_mev_per_atom": 0,
  "formation_energy_kj_per_mol_atoms": 14
}

{
  "formula": "Li3Mg5Cd3",
  "functional": "GGA-PBE",
  "state": "optimized geometry",
  "lattice_angstrom": [[-2.265, -1.220, 1.473], [-4.930, -0.978, -8.388], [5.876, -7.182, 3.084]],
  "species": ["Li", "Li", "Li", "Mg", "Mg", "Mg", "Mg", "Mg", "Cd", "Cd", "Cd"],
  "fractional_positions": [[0.500, 0.838, 0.000], [0.500, 0.162, 0.162], [0.500, 0.000, 0.838], [0.500, 0.667, 0.333], [0.500, 0.333, 0.667], [0.500, 0.331, 0.000], [0.500, 0.669, 0.669], [0.500, 0.000, 0.331], [0.000, 0.597, 0.000], [0.000, 0.000, 0.597], [0.000, 0.403, 0.403]],
  "crystal_system": "hexagonal",
  "n_ef_per_ev_atom": 0.626,
  "final_energy_ev_per_atom": -1.428,
  "formation_energy_kj_per_mol_atoms": 7
}

{
  "formula": "GeSbO2",
  "functional": "GGA-PBE",
  "state": "optimized geometry",
  "lattice_angstrom": [[-0.597, 5.918, 3.622], [2.566, 5.326, 3.681], [1.244, 6.760, 1.120]],
  "species": ["Sb", "Ge", "O", "O"],
  "fractional_positions": [[0.000, 0.000, 0.000], [0.500, 0.500, 0.500], [0.888, 0.888, 0.888], [0.112, 0.112, 0.112]],
  "e_form_raw_mev_per_atom": -808.6,
  "crystal_system": "trigonal",
  "n_ef_per_ev_atom": 0.428,
  "final_energy_ev_per_atom": -5.473,
  "relative_energy_mev_per_atom": 0
}

{
  "formula": "Si4OsPt",
  "functional": "GGA-PBE",
  "state": "optimized geometry",
  "lattice_angstrom": [[2.583, -3.179, 2.689], [-1.391, -4.692, 0.254], [2.669, -3.470, -2.202]],
  "species": ["Si", "Si", "Si", "Si", "Os", "Pt"],
  "fractional_positions": [[0.874, 0.375, 0.375], [0.375, 0.375, 0.874], [0.375, 0.874, 0.375], [0.375, 0.375, 0.375], [0.750, 0.750, 0.750], [0.000, 0.000, 0.000]],
  "e_form_raw_mev_per_atom": 553.0,
  "crystal_system": "cubic",
  "n_ef_per_ev_atom": 0.929,
  "final_energy_ev_per_atom": -5.941
}

{
  "formula": "TiFe2Pt5",
  "functional": "GGA-PBE",
  "state": "optimized geometry",
  "lattice_angstrom": [[4.537, 0.000, 0.000], [0.000, 5.436, 0.000], [0.000, 0.000, 9.952]],
  "species": ["Ti", "Ti", "Fe", "Fe", "Fe", "Fe", "Pt", "Pt", "Pt", "Pt", "Pt", "Pt", "Pt", "Pt", "Pt", "Pt"],
  "fractional_positions": [[0.000, 0.000, 0.500], [0.000, 0.500, 0.000], [0.500, 0.346, 0.360], [0.500, 0.654, 0.640], [0.500, 0.154, 0.860], [0.500, 0.846, 0.140], [0.500, 0.325, 0.100], [0.500, 0.675, 0.900], [0.500, 0.825, 0.400], [0.500, 0.175, 0.600], [0.000, 0.786, 0.741], [0.000, 0.214, 0.259], [0.000, 0.286, 0.759], [0.000, 0.714, 0.241], [0.000, 0.500, 0.500], [0.000, 0.000, 0.000]],
  "crystal_system": "orthorhombic",
  "n_ef_per_ev_atom": 0.764,
  "final_energy_ev_per_atom": -7.234,
  "formation_energy_kj_per_mol_atoms": -34
}

{
  "formula": "LiZrGa2",
  "functional": "GGA-PBE",
  "state": "optimized geometry",
  "lattice_angstrom": [[3.990, 0.000, 0.000], [0.000, 4.126, 0.000], [0.000, 0.000, 4.126]],
  "species": ["Ga", "Ga", "Zr", "Li"],
  "fractional_positions": [[0.000, 0.000, 0.500], [0.000, 0.500, 0.000], [0.500, 0.500, 0.500], [0.500, 0.000, 0.000]],
  "crystal_system": "tetragonal",
  "n_ef_per_ev_atom": 0.379,
  "final_energy_ev_per_atom": -4.610,
  "relative_energy_mev_per_atom": 0,
  "formation_energy_kj_per_mol_atoms": -46
}

- What is the formula in the first record?
  Tb6Y12Tm

- What is the formula in the third record?
  GeSbO2